K2ErZn3F12, relaxed, DFT GGA-PBE; magnetization = 0.00 μB/f.u.; E_tot = -4.544 eV per atom; formation energy from raw total energies = -2.71 eV/atom
1.0
7.5850 0.1112 0.0789
3.8425 6.5406 0.0789
3.8425 2.2367 6.1467
F Zn K Er
12 3 2 1
direct
0.0904 0.0904 0.6497
0.6497 0.0904 0.0904
0.0904 0.6497 0.0904
0.3079 0.3079 0.9181
0.6921 0.6921 0.0819
0.0819 0.6921 0.6921
0.9181 0.3079 0.3079
0.6921 0.0819 0.6921
0.9096 0.3503 0.9096
0.3079 0.9181 0.3079
0.3503 0.9096 0.9096
0.9096 0.9096 0.3503
0.0000 0.0000 0.5000
0.5000 0.0000 0.0000
0.0000 0.5000 0.0000
0.6304 0.6304 0.6304
0.3696 0.3696 0.3696
0.0000 0.0000 0.0000

***

TaIn2P, relaxed, DFT GGA-PBE; energy relative to the elements = 440 meV/atom; magnetization = 0.00 μB/f.u.; E_tot = -5.245 eV per atom
1.0
-2.3864 1.8055 -1.9368
-2.9192 -0.0587 3.5420
1.8254 4.0996 1.5724
Ta In P
1 2 1
direct
0.0000 0.5000 0.5000
0.5000 0.5000 0.0000
0.0000 0.0000 0.0000
0.5000 0.0000 0.5000

***

Question: The highest E_tot belongs to which entry?
Answer: K2ErZn3F12

***

Question: Which formula does entry 1 have?
Answer: K2ErZn3F12